## AlNiAs2 (PBE)

Data for crystalline AlNiAs2 at its relaxed geometry.

a b c (Å): 2.887 3.427 7.150
angles (deg): 90.00 90.00 90.00
Space group Pmm2 (No. 25)
Unique sites:
Al  0.000  0.000  0.000 x1
Ni  0.500  0.500  0.815 x1
As  0.000  0.000  0.636 x1
As  0.500  0.500  0.195 x1

Properties
Calculated formation energy   -0.4 eV per formula unit